A plane-wave DFT calculation with PBE was carried out for a geometry-optimized CsNbRuS3 structure.

Lattice parameters (Å, degrees): 9.0243 3.6002 9.8514 90.00 116.34 90.00
Space group P2_1/m (No. 11)
Inequivalent atoms, fractional coordinates:
Cs 0.2457 0.2500 0.2585 (multiplicity 2)
Nb 0.3029 0.7500 0.8436 (multiplicity 2)
Ru 0.0835 0.2500 0.6179 (multiplicity 2)
S 0.1265 0.2500 0.8709 (multiplicity 2)
S 0.2111 0.7500 0.5663 (multiplicity 2)
S 0.4811 0.7500 0.1340 (multiplicity 2)

Calculated values
The uncorrected formation energy comes out at -0.90 eV per atom.



A plane-wave DFT calculation with PBE was carried out for a geometry-optimized Pm4Sm2Tm structure.

Lattice parameters (Å, degrees): 5.3720 11.4057 15.6160 90.00 90.00 90.00
Space group Cmce (No. 64)
Inequivalent atoms, fractional coordinates:
Pm 0.0000 0.1001 0.1936 (multiplicity 8)
Pm 0.0000 0.2042 0.4301 (multiplicity 8)
Sm 0.0000 0.1064 0.6560 (multiplicity 8)
Tm 0.0000 0.0000 0.0000 (multiplicity 4)

Calculated values
The formation energy is 103.9 kJ/mol of formula units.



A plane-wave DFT calculation with PBE was carried out for a geometry-optimized NdThVN3 structure.

Lattice parameters (Å, degrees): 7.4779 3.5595 7.6349 90.00 95.41 90.00
Space group P2_1/m (No. 11)
Inequivalent atoms, fractional coordinates:
Nd 0.1556 0.2500 0.1608 (multiplicity 2)
Th 0.3687 0.7500 0.8198 (multiplicity 2)
V 0.0878 0.2500 0.5913 (multiplicity 2)
N 0.1204 0.2500 0.8417 (multiplicity 2)
N 0.1565 0.7500 0.5181 (multiplicity 2)
N 0.3996 0.7500 0.1298 (multiplicity 2)

Calculated values
The uncorrected formation energy comes out at -1.21 eV per atom.



A plane-wave DFT calculation with PBE was carried out for a geometry-optimized CaIn2Pt structure.

Lattice parameters (Å, degrees): 4.4072 8.0473 5.6613 90.00 112.70 90.00
Space group P2_1/m (No. 11)
Inequivalent atoms, fractional coordinates:
Ca 0.0673 0.2500 0.1340 (multiplicity 2)
In 0.3560 0.0519 0.7123 (multiplicity 4)
Pt 0.2182 0.7500 0.4380 (multiplicity 2)

Calculated values
The formation energy is -270.1 kJ/mol of formula units.



Number 1: E_tot -76.0 eV/cell. Number 2: E_tot -127.3 eV/cell. Number 3: E_tot -107.1 eV/cell. Number 4: E_tot -32.6 eV/cell.